The following is a PBE calculation of a relaxed structure of K3Ac3NpS8, from the Alexandria database.

Output
As for the spin magnetization: 3.00 μB per formula unit. As for the uncorrected formation energy: -1.763 eV per atom.

Cell lengths 8.719, 8.719, 8.994 Å; angles 119.01, 90.00, 120.00 degrees
Positions (direct):
Ac 0.500 0.000 0.500
S 0.262 0.524 0.285
S 0.738 0.476 0.715
K 0.500 0.500 0.000
S 0.219 0.438 0.697
S 0.781 0.022 0.303
Ac 0.500 0.500 0.500
K 0.000 0.500 0.000
Ac 0.000 0.500 0.500
S 0.759 0.978 0.697
K 0.000 0.000 0.000
S 0.219 0.978 0.697
S 0.241 0.022 0.303
S 0.781 0.562 0.303
Np 0.000 0.000 0.500

---

The following is a PBE calculation of a relaxed structure of KAcNpS4, from the Alexandria database.

Output
As for the spin magnetization: 3.00 μB per formula unit. As for the uncorrected formation energy: -1.521 eV per atom.

Cell lengths 5.148, 5.148, 8.515 Å; angles 107.60, 107.60, 90.00 degrees
Positions (direct):
K 0.357 0.357 0.714
Ac 0.635 0.635 0.269
S 0.165 0.165 0.329
S 0.514 0.014 0.028
Np 0.994 0.994 0.987
S 0.822 0.822 0.645
S 0.014 0.514 0.028

---

The following is a PBE calculation of a relaxed structure of K2Ac2NpS6, from the Alexandria database.

Output
As for the spin magnetization: 3.00 μB per formula unit. As for the uncorrected formation energy: -1.700 eV per atom.

Cell lengths 7.443, 7.443, 7.864 Å; angles 99.02, 99.02, 119.19 degrees
Positions (direct):
Ac 0.335 0.665 0.500
S 0.626 0.939 0.301
S 0.061 0.374 0.699
S 0.374 0.061 0.699
Np 0.000 0.000 0.500
S 0.939 0.626 0.301
S 0.765 0.765 0.700
K 0.167 0.833 0.000
Ac 0.665 0.335 0.500
S 0.235 0.235 0.300
K 0.833 0.167 0.000

---

- The lowest uncorrected formation energy belongs to which entry?
  K3Ac3NpS8